[1]
Density functional theory data (GGA-PBE) for an optimized crystal structure of TlCdSe.

Summary:
Total DFT energy (no corrections): -2.2840 eV per atom
Crystal system: trigonal
Density of states at the Fermi level: 0.673 states/eV per atom
Polymorph energy (0 for the lowest one): 0.250 eV/atom
Spin magnetization: 0.000 μB per atom
Uncorrected formation energy: -0.029 eV/atom

Geometry as CIF:
```
data_TlCdSe
_chemical_formula_sum 'Tl1 Cd1 Se1'
_symmetry_space_group_name_H-M 'P 3 m 1'
_symmetry_Int_Tables_number 156
_symmetry_space_group_name_Hall 'P 3 -2"'
_cell_length_a 5.4874
_cell_length_b 5.4874
_cell_length_c 3.0566
_cell_angle_alpha 90.00
_cell_angle_beta 90.00
_cell_angle_gamma 120.00
loop_
_atom_site_label
_atom_site_type_symbol
_atom_site_fract_x
_atom_site_fract_y
_atom_site_fract_z
Tl1 Tl 0.0000 0.0000 0.0000
Cd1 Cd 0.6667 0.3333 0.5043
Se1 Se 0.3333 0.6667 0.5079
```

=====

[2]
Density functional theory data (GGA-PBE) for an optimized crystal structure of Gd2FeNi.

Summary:
Total DFT energy (no corrections): -10.7010 eV per atom
Crystal system: tetragonal
Density of states at the Fermi level: 1.047 states/eV per atom
Spin magnetization: 3.240 μB per atom

Geometry as CIF:
```
data_Gd2FeNi
_chemical_formula_sum 'Gd2 Fe1 Ni1'
_symmetry_space_group_name_H-M 'P 4/m m m'
_symmetry_Int_Tables_number 123
_symmetry_space_group_name_Hall '-P 4 2'
_cell_length_a 3.414
_cell_length_b 3.414
_cell_length_c 6.812
_cell_angle_alpha 90.00
_cell_angle_beta 90.00
_cell_angle_gamma 90.00
loop_
_atom_site_label
_atom_site_type_symbol
_atom_site_fract_x
_atom_site_fract_y
_atom_site_fract_z
Gd1 Gd 0.000 0.000 0.249
Fe1 Fe 0.500 0.500 0.000
Ni1 Ni 0.500 0.500 0.500
```

=====

[3]
Density functional theory data (GGA-PBE) for an optimized crystal structure of Tb8Ho5Th.

Summary:
Total DFT energy (no corrections): -4.5208 eV per atom
Crystal system: tetragonal
Density of states at the Fermi level: 1.708 states/eV per atom
Spin magnetization: 0.004 μB per atom

Geometry as CIF:
```
data_Tb8Ho5Th
_chemical_formula_sum 'Tb16 Ho10 Th2'
_symmetry_space_group_name_H-M 'I -4'
_symmetry_Int_Tables_number 82
_symmetry_space_group_name_Hall 'I -4'
_cell_length_a 9.550
_cell_length_b 9.550
_cell_length_c 10.091
_cell_angle_alpha 90.00
_cell_angle_beta 90.00
_cell_angle_gamma 90.00
loop_
_atom_site_label
_atom_site_type_symbol
_atom_site_fract_x
_atom_site_fract_y
_atom_site_fract_z
Tb1 Tb 0.069 0.326 0.094
Tb2 Tb 0.092 0.174 0.749
Ho1 Ho 0.000 0.000 0.000
Ho2 Ho 0.113 0.208 0.423
Th1 Th 0.000 0.500 0.750
```

=====

[4]
Density functional theory data (GGA-PBE) for an optimized crystal structure of TaTl2Se.

Summary:
Total DFT energy (no corrections): -4.4418 eV per atom
Crystal system: trigonal
Density of states at the Fermi level: 0.596 states/eV per atom
Polymorph energy (0 for the lowest one): 0.634 eV/atom
Spin magnetization: 0.000 μB per atom
Uncorrected formation energy: 0.576 eV/atom

Geometry as CIF:
```
data_TaTl2Se
_chemical_formula_sum 'Ta3 Tl6 Se3'
_symmetry_space_group_name_H-M 'R -3 m'
_symmetry_Int_Tables_number 166
_symmetry_space_group_name_Hall '-R 3 2"'
_cell_length_a 3.4736
_cell_length_b 3.4736
_cell_length_c 26.3199
_cell_angle_alpha 90.00
_cell_angle_beta 90.00
_cell_angle_gamma 120.00
loop_
_atom_site_label
_atom_site_type_symbol
_atom_site_fract_x
_atom_site_fract_y
_atom_site_fract_z
Ta1 Ta 0.0000 0.0000 0.0000
Tl1 Tl 0.0000 0.0000 0.2472
Se1 Se 0.0000 0.0000 0.5000
```

=====

[5]
Density functional theory data (GGA-PBE) for an optimized crystal structure of LiPr2TmTe5.

Summary:
Total DFT energy (no corrections): -4.8462 eV per atom
Crystal system: orthorhombic
Spin magnetization: 0.000 μB per atom
Uncorrected formation energy: -1.329 eV/atom

Geometry as CIF:
```
data_LiPr2TmTe5
_chemical_formula_sum 'Li4 Pr8 Tm4 Te20'
_symmetry_space_group_name_H-M 'C m c 21'
_symmetry_Int_Tables_number 36
_symmetry_space_group_name_Hall 'C 2c -2'
_cell_length_a 4.417
_cell_length_b 18.808
_cell_length_c 13.233
_cell_angle_alpha 90.00
_cell_angle_beta 90.00
_cell_angle_gamma 90.00
loop_
_atom_site_label
_atom_site_type_symbol
_atom_site_fract_x
_atom_site_fract_y
_atom_site_fract_z
Li1 Li 0.000 0.060 0.000
Pr1 Pr 0.000 0.373 0.839
Pr2 Pr 0.000 0.394 0.223
Tm1 Tm 0.000 0.302 0.547
Te1 Te 0.000 0.002 0.320
Te2 Te 0.000 0.140 0.535
Te3 Te 0.000 0.190 0.885
Te4 Te 0.000 0.218 0.203
Te5 Te 0.000 0.452 0.608
```

=====

[6]
Density functional theory data (GGA-PBE) for an optimized crystal structure of Ac2Cu3Sb4Pt.

Summary:
Total DFT energy (no corrections): -4.9123 eV per atom
Crystal system: tetragonal
Density of states at the Fermi level: 0.301 states/eV per atom
Spin magnetization: 0.000 μB per atom
Uncorrected formation energy: -0.609 eV/atom

Geometry as CIF:
```
data_Ac2Cu3Sb4Pt
_chemical_formula_sum 'Ac2 Cu3 Sb4 Pt1'
_symmetry_space_group_name_H-M 'P -4 m 2'
_symmetry_Int_Tables_number 115
_symmetry_space_group_name_Hall 'P -4 -2'
_cell_length_a 4.743
_cell_length_b 4.743
_cell_length_c 10.417
_cell_angle_alpha 90.00
_cell_angle_beta 90.00
_cell_angle_gamma 90.00
loop_
_atom_site_label
_atom_site_type_symbol
_atom_site_fract_x
_atom_site_fract_y
_atom_site_fract_z
Ac1 Ac 0.000 0.500 0.235
Cu1 Cu 0.000 0.000 0.000
Cu2 Cu 0.000 0.500 0.624
Sb1 Sb 0.000 0.000 0.500
Sb2 Sb 0.000 0.500 0.871
Sb3 Sb 0.500 0.500 0.500
Pt1 Pt 0.500 0.500 0.000
```

=====

[7]
Density functional theory data (GGA-PBE) for an optimized crystal structure of RbAcReO5.

Summary:
Total DFT energy (no corrections): -7.4248 eV per atom
Crystal system: monoclinic
Spin magnetization: 0.125 μB per atom
Uncorrected formation energy: -2.135 eV/atom

Geometry as CIF:
```
data_RbAcReO5
_chemical_formula_sum 'Rb4 Ac4 Re4 O20'
_symmetry_space_group_name_H-M 'C 1 2/c 1'
_symmetry_Int_Tables_number 15
_symmetry_space_group_name_Hall '-C 2yc'
_cell_length_a 7.803
_cell_length_b 10.981
_cell_length_c 8.656
_cell_angle_alpha 90.00
_cell_angle_beta 111.04
_cell_angle_gamma 90.00
loop_
_atom_site_label
_atom_site_type_symbol
_atom_site_fract_x
_atom_site_fract_y
_atom_site_fract_z
Rb1 Rb 0.000 0.177 0.250
Ac1 Ac 0.000 0.500 0.000
Re1 Re 0.000 0.176 0.750
O1 O 0.000 0.424 0.250
O2 O 0.077 0.279 0.626
O3 O 0.150 0.073 0.901
```

=====

[8]
Density functional theory data (GGA-PBE) for an optimized crystal structure of CsLa2US5.

Summary:
Total DFT energy (no corrections): -6.5085 eV per atom
Crystal system: orthorhombic
Density of states at the Fermi level: 0.708 states/eV per atom
Spin magnetization: 0.306 μB per atom
Uncorrected formation energy: -1.771 eV/atom

Geometry as CIF:
```
data_CsLa2US5
_chemical_formula_sum 'Cs2 La4 U2 S10'
_symmetry_space_group_name_H-M 'I m m m'
_symmetry_Int_Tables_number 71
_symmetry_space_group_name_Hall '-I 2 2'
_cell_length_a 5.104
_cell_length_b 7.435
_cell_length_c 14.088
_cell_angle_alpha 90.00
_cell_angle_beta 90.00
_cell_angle_gamma 90.00
loop_
_atom_site_label
_atom_site_type_symbol
_atom_site_fract_x
_atom_site_fract_y
_atom_site_fract_z
Cs1 Cs 0.000 0.000 0.000
La1 La 0.000 0.500 0.206
U1 U 0.000 0.000 0.500
S1 S 0.000 0.231 0.349
S2 S 0.000 0.500 0.000
```

=====

[9]
Density functional theory data (GGA-PBE) for an optimized crystal structure of Pm4Dy3Ni4.

Summary:
Total DFT energy (no corrections): -5.2430 eV per atom
Crystal system: orthorhombic
Density of states at the Fermi level: 1.122 states/eV per atom
Spin magnetization: 0.000 μB per atom

Geometry as CIF:
```
data_Pm4Dy3Ni4
_chemical_formula_sum 'Pm8 Dy6 Ni8'
_symmetry_space_group_name_H-M 'I m m m'
_symmetry_Int_Tables_number 71
_symmetry_space_group_name_Hall '-I 2 2'
_cell_length_a 4.601
_cell_length_b 7.581
_cell_length_c 15.101
_cell_angle_alpha 90.00
_cell_angle_beta 90.00
_cell_angle_gamma 90.00
loop_
_atom_site_label
_atom_site_type_symbol
_atom_site_fract_x
_atom_site_fract_y
_atom_site_fract_z
Pm1 Pm 0.000 0.214 0.167
Dy1 Dy 0.000 0.000 0.397
Dy2 Dy 0.000 0.500 0.500
Ni1 Ni 0.000 0.344 0.000
Ni2 Ni 0.000 0.500 0.294
```

=====

[10]
Density functional theory data (GGA-PBE) for an optimized crystal structure of Mg2TcHg.

Summary:
Total DFT energy (no corrections): -3.2734 eV per atom
Crystal system: orthorhombic
Density of states at the Fermi level: 0.936 states/eV per atom
Spin magnetization: 0.000 μB per atom

Geometry as CIF:
```
data_Mg2TcHg
_chemical_formula_sum 'Mg2 Tc1 Hg1'
_symmetry_space_group_name_H-M 'P m m 2'
_symmetry_Int_Tables_number 25
_symmetry_space_group_name_Hall 'P 2 -2'
_cell_length_a 2.941
_cell_length_b 4.821
_cell_length_c 5.132
_cell_angle_alpha 90.00
_cell_angle_beta 90.00
_cell_angle_gamma 90.00
loop_
_atom_site_label
_atom_site_type_symbol
_atom_site_fract_x
_atom_site_fract_y
_atom_site_fract_z
Mg1 Mg 0.000 0.000 0.000
Mg2 Mg 0.000 0.500 0.357
Tc1 Tc 0.500 0.500 0.861
Hg1 Hg 0.500 0.000 0.521
```

=====

[11]
Density functional theory data (GGA-PBE) for an optimized crystal structure of TaSi2Te.

Summary:
Total DFT energy (no corrections): -5.8317 eV per atom
Crystal system: cubic
Density of states at the Fermi level: 1.217 states/eV per atom
Spin magnetization: 0.000 μB per atom
Uncorrected formation energy: 0.628 eV/atom

Geometry as CIF:
```
data_TaSi2Te
_chemical_formula_sum 'Ta4 Si8 Te4'
_symmetry_space_group_name_H-M 'F -4 3 m'
_symmetry_Int_Tables_number 216
_symmetry_space_group_name_Hall 'F -4 2 3'
_cell_length_a 6.657
_cell_length_b 6.657
_cell_length_c 6.657
_cell_angle_alpha 90.00
_cell_angle_beta 90.00
_cell_angle_gamma 90.00
loop_
_atom_site_label
_atom_site_type_symbol
_atom_site_fract_x
_atom_site_fract_y
_atom_site_fract_z
Ta1 Ta 0.000 0.000 0.000
Si1 Si 0.000 0.000 0.500
Si2 Si 0.250 0.250 0.750
Te1 Te 0.250 0.250 0.250
```

=====

[12]
Density functional theory data (GGA-PBE) for an optimized crystal structure of V2TeBr8.

Summary:
Total DFT energy (no corrections): -3.7637 eV per atom
Crystal system: monoclinic
Density of states at the Fermi level: 0.681 states/eV per atom
Spin magnetization: 0.182 μB per atom
Uncorrected formation energy: -0.604 eV/atom

Geometry as CIF:
```
data_V2TeBr8
_chemical_formula_sum 'V4 Te2 Br16'
_symmetry_space_group_name_H-M 'C 1 2/m 1'
_symmetry_Int_Tables_number 12
_symmetry_space_group_name_Hall '-C 2y'
_cell_length_a 14.326
_cell_length_b 8.852
_cell_length_c 7.470
_cell_angle_alpha 90.00
_cell_angle_beta 91.11
_cell_angle_gamma 90.00
loop_
_atom_site_label
_atom_site_type_symbol
_atom_site_fract_x
_atom_site_fract_y
_atom_site_fract_z
V1 V 0.163 0.000 0.302
Te1 Te 0.000 0.000 0.500
Br1 Br 0.125 0.212 0.134
Br2 Br 0.173 0.500 0.716
Br3 Br 0.179 0.000 0.636
```

=====

> total DFT energy (no corrections) of number 5 (LiPr2TmTe5)?

-4.8462 eV per atom